(1)
Crystalline Tl3Cu2Cl8 at its relaxed geometry. Source: Alexandria, functional PBE-GGA.

Cell lengths 9.6634, 12.7354, 6.4887 Å; angles 90.00, 101.96, 90.00 degrees
Space group C2/m (No. 12)
Asymmetric unit:
Tl 0.0000 0.0000 0.0000 (multiplicity 2)
Tl 0.0000 0.2440 0.5000 (multiplicity 4)
Cu 0.1846 0.5000 0.5459 (multiplicity 4)
Cl 0.0011 0.5000 0.2629 (multiplicity 4)
Cl 0.1571 0.0000 0.6986 (multiplicity 4)
Cl 0.1951 0.1408 0.2401 (multiplicity 8)

DFT total energy   -2.99 eV per atom
E_form (uncorrected)   -847 kJ/mol of formula units
Polymorph energy (0 for the lowest one)   0.0 kJ/mol of atoms

=====

(2)
Crystalline Zr4IrOs3 at its relaxed geometry. Source: Alexandria, functional PBE-GGA.

Cell lengths 3.3021, 4.6458, 9.2848 Å; angles 90.00, 90.00, 90.00 degrees
Space group Pmmm (No. 47)
Asymmetric unit:
Zr 0.0000 0.0000 0.0000 (multiplicity 1)
Zr 0.0000 0.0000 0.5000 (multiplicity 1)
Zr 0.0000 0.5000 0.2485 (multiplicity 2)
Ir 0.5000 0.5000 0.5000 (multiplicity 1)
Os 0.5000 0.0000 0.2507 (multiplicity 2)
Os 0.5000 0.5000 0.0000 (multiplicity 1)

DFT total energy   -10.17 eV per atom
DFT formation energy   -0.573 eV/atom

=====

(3)
Crystalline MgTcMoRu at its relaxed geometry. Source: Alexandria, functional PBE-GGA.

Cell lengths 6.2210, 6.2210, 6.2210 Å; angles 90.00, 90.00, 90.00 degrees
Space group F-43m (No. 216)
Asymmetric unit:
Mg 0.0000 0.0000 0.0000 (multiplicity 4)
Tc 0.2500 0.2500 0.2500 (multiplicity 4)
Mo 0.0000 0.0000 0.5000 (multiplicity 4)
Ru 0.2500 0.2500 0.7500 (multiplicity 4)

DFT total energy   -7.98 eV per atom
DFT formation energy   0.033 eV/atom